! Zn3Ga8Pb3, relaxed, DFT GGA-PBE; values from VASP
! energy relative to the elements: 50 meV per atom
! calculated total energy: -2.747 eV/atom
! symmetry: Immm, No. 71
&SYSTEM
  ibrav = 0, nat = 14, ntyp = 3
/
ATOMIC_SPECIES
Pb 207.20 Pb.upf
Ga 69.72 Ga.upf
Zn 65.41 Zn.upf
CELL_PARAMETERS angstrom
-3.814 2.023 0.529
-5.771 -5.312 -3.413
-3.433 -3.616 6.950
ATOMIC_POSITIONS crystal
Pb 0.500 0.500 0.500
Pb 0.807 0.193 0.193
Pb 0.193 0.807 0.807
Ga 0.845 0.523 0.787
Ga 0.364 0.923 0.348
Ga 0.636 0.077 0.652
Ga 0.364 0.348 0.923
Ga 0.636 0.652 0.077
Ga 0.155 0.477 0.213
Ga 0.845 0.787 0.523
Ga 0.155 0.213 0.477
Zn 0.500 0.000 0.000
Zn 0.000 0.819 0.181
Zn 0.000 0.181 0.819